Record 1
LiNbB3 after structural relaxation. Source: the Alexandria database, functional PBE.

total magnetic moment = 0.0 μB/f.u.
DFT formation energy = 1.202 eV/atom
relative energy among the computed polymorphs = 0 meV per atom

Cell: 4.2973 4.2973 4.2973 Å, 90.00 90.00 90.00°
Space group Pm-3m (No. 221)
Asymmetric unit:
Li 0.0000 0.0000 0.0000 x1
Nb 0.5000 0.5000 0.5000 x1
B 0.0000 0.5000 0.5000 x3

***

Record 2
KCo2I2 after structural relaxation. Source: the Alexandria database, functional PBE.

total magnetic moment = 4.5 μB/f.u.
relative energy among the computed polymorphs = 41 meV per atom

Cell: 5.2438 5.2438 9.6755 Å, 90.00 90.00 90.00°
Space group I4/mmm (No. 139)
Asymmetric unit:
K 0.0000 0.0000 0.0000 x2
Co 0.0000 0.0000 0.3852 x4
I 0.0000 0.5000 0.2500 x4

***

Record 3
K2ScAu after structural relaxation. Source: the Alexandria database, functional PBE.

total magnetic moment = 0.0 μB/f.u.
DFT formation energy = -0.089 eV/atom
relative energy among the computed polymorphs = 33 meV per atom

Cell: 20.9755 3.5985 4.2706 Å, 90.00 101.57 90.00°
Space group C2/m (No. 12)
Asymmetric unit:
K 0.1522 0.0000 0.1490 x4
Sc 0.0000 0.0000 0.5000 x2
Au 0.0000 0.5000 0.0000 x2

***

Record 4
ZrSi3Ru3 after structural relaxation. Source: the Alexandria database, functional PBE.

total magnetic moment = 0.9 μB/f.u.
E = -102.92 eV per cell

Cell: 6.4107 6.4107 6.4107 Å, 90.00 90.00 90.00°
Space group Pm-3n (No. 223)
Asymmetric unit:
Zr 0.0000 0.0000 0.0000 x2
Si 0.0000 0.2500 0.5000 x6
Ru 0.0000 0.5000 0.2500 x6